Density functional theory data (PBE-GGA) for crystalline AlSe2NO at its relaxed geometry.

```
5
Lattice="-1.706 3.820 0.946 -3.505 -1.005 -2.259 -1.666 -1.556 3.278" Properties=species:S:1:pos:R:3 pbc="T T T"
O 0.000 0.000 0.000
Se -0.853 1.910 0.473
Se -1.752 -0.503 -1.130
Al -3.438 0.629 0.982
N -0.833 -0.778 1.639
```

Computed properties:
Offset from the most stable computed form (meV/atom): 233
Crystal system: tetragonal

Density functional theory data (PBE-GGA) for crystalline LaTeMo2 at its relaxed geometry.

```
4
Lattice="-2.918 3.276 3.878 0.393 -1.298 5.697 3.609 0.808 -4.540" Properties=species:S:1:pos:R:3 pbc="T T T"
Te 1.370 0.250 2.972
Mo -1.263 0.989 4.788
Mo 0.000 0.000 0.000
La -0.286 2.537 2.063
```

Computed properties:
Crystal system: tetragonal

Formation energy without anion corrections for the records above, in order: 1.105, 0.524 eV per atom
Total DFT energy (no corrections) for the records above, in order: -18.47, -27.63 eV for the cell shown